The following is a DFT calculation (PBE-GGA) of a relaxed PmZr2CrN4 crystal.

Lattice parameters (Å, degrees): 5.856 5.856 11.099 90.00 90.00 147.51
Fractional positions:
Pm (0.098, 0.902, 0.750)
Pm (0.902, 0.098, 0.250)
Zr (0.369, 0.631, 0.545)
Zr (0.369, 0.631, 0.955)
Zr (0.631, 0.369, 0.045)
Zr (0.631, 0.369, 0.455)
Cr (0.164, 0.836, 0.250)
Cr (0.836, 0.164, 0.750)
N (0.000, 0.000, 0.000)
N (0.000, 0.000, 0.500)
N (0.266, 0.734, 0.120)
N (0.266, 0.734, 0.380)
N (0.430, 0.570, 0.750)
N (0.570, 0.430, 0.250)
N (0.734, 0.266, 0.620)
N (0.734, 0.266, 0.880)

Summary:
uncorrected formation energy = -1300 meV per atom


The following is a DFT calculation (PBE-GGA) of a relaxed PmZrCrN3 crystal.

Lattice parameters (Å, degrees): 7.066 3.311 7.465 90.00 101.60 90.00
Fractional positions:
Pm (0.178, 0.250, 0.184)
Pm (0.822, 0.750, 0.816)
Zr (0.354, 0.750, 0.846)
Zr (0.646, 0.250, 0.154)
Cr (0.085, 0.250, 0.603)
Cr (0.915, 0.750, 0.397)
N (0.120, 0.250, 0.857)
N (0.179, 0.750, 0.527)
N (0.426, 0.750, 0.148)
N (0.574, 0.250, 0.852)
N (0.821, 0.250, 0.473)
N (0.880, 0.750, 0.143)

Summary:
uncorrected formation energy = -1116 meV per atom


Taking the records one at a time from the top gives calculated volume values of 12.8, 14.3 Å³ per atom.
Taking the records one at a time from the top gives DFT total energy values of -9.3965, -9.0988 eV per atom.
Taking the records one at a time from the top gives DOS(E_F) values of 0.488, 0.598 states/eV per atom.